Record 1
The following is a PBE calculation of crystalline LuCuSnS3 at its relaxed geometry, from OQMD via LeMat-Bulk.

POSCAR file:
```
LuCuSnS3
1.0
8.529 -1.916 0.000
8.529 1.916 0.000
-1.810 0.000 7.665
Lu Cu Sn S
2 2 2 6
Direct
0.163 0.163 0.081 Lu
0.837 0.837 0.919 Lu
0.465 0.465 0.794 Cu
0.535 0.535 0.206 Cu
0.128 0.128 0.567 Sn
0.872 0.872 0.433 Sn
0.000 0.000 0.000 S
0.325 0.325 0.147 S
0.326 0.326 0.682 S
0.500 0.500 0.500 S
0.674 0.674 0.318 S
0.675 0.675 0.853 S
```

Calculated total energy: -5.088 eV per atom
Crystal system: monoclinic

Record 2
The following is a PBE calculation of crystalline LuCuSnS3 at its relaxed geometry, from OQMD via LeMat-Bulk.

POSCAR file:
```
LuCuSnS3
1.0
7.373 0.000 0.000
0.000 3.839 0.000
-2.507 0.000 9.057
Lu Cu Sn S
2 2 2 6
Direct
0.192 0.250 0.157 Lu
0.808 0.750 0.843 Lu
0.418 0.750 0.410 Cu
0.582 0.250 0.590 Cu
0.252 0.750 0.698 Sn
0.748 0.250 0.302 Sn
0.069 0.250 0.861 S
0.246 0.250 0.453 S
0.447 0.750 0.169 S
0.553 0.250 0.831 S
0.754 0.750 0.547 S
0.931 0.750 0.139 S
```

Calculated total energy: -5.121 eV per atom
Crystal system: monoclinic

Record 3
The following is a PBE calculation of crystalline LuCuSnTeS2 at its relaxed geometry, from OQMD via LeMat-Bulk.

POSCAR file:
```
LuCuSnTeS2
1.0
1.979 -6.781 0.000
1.979 6.781 0.000
0.000 0.000 10.801
Lu Cu Sn Te S
2 2 2 2 4
Direct
0.000 0.000 0.000 Lu
0.000 0.000 0.500 Lu
0.475 0.525 0.750 Cu
0.525 0.475 0.250 Cu
0.204 0.796 0.250 Sn
0.796 0.204 0.750 Sn
0.105 0.895 0.750 Te
0.895 0.105 0.250 Te
0.377 0.623 0.573 S
0.377 0.623 0.927 S
0.623 0.377 0.073 S
0.623 0.377 0.427 S
```

Calculated total energy: -4.819 eV per atom
Crystal system: orthorhombic

Record 4
The following is a PBE calculation of crystalline SrLuCuS3 at its relaxed geometry, from OQMD via LeMat-Bulk.

POSCAR file:
```
SrLuCuS3
1.0
1.945 -6.504 0.000
1.945 6.504 0.000
0.000 0.000 10.002
Sr Lu Cu S
2 2 2 6
Direct
0.247 0.753 0.750 Sr
0.753 0.247 0.250 Sr
0.500 0.500 0.000 Lu
0.500 0.500 0.500 Lu
0.031 0.969 0.250 Cu
0.969 0.031 0.750 Cu
0.136 0.864 0.063 S
0.136 0.864 0.437 S
0.426 0.574 0.250 S
0.574 0.426 0.750 S
0.864 0.136 0.563 S
0.864 0.136 0.937 S
```

Crystal system: orthorhombic
Polymorph energy (0 for the lowest one): 1 meV/atom

Record 5
The following is a PBE calculation of crystalline SrLuCuS3 at its relaxed geometry, from OQMD via LeMat-Bulk.

POSCAR file:
```
SrLuCuS3
1.0
8.562 -1.946 0.000
8.562 1.946 0.000
-1.755 0.000 7.750
Sr Lu Cu S
2 2 2 6
Direct
0.131 0.131 0.070 Sr
0.869 0.869 0.930 Sr
0.163 0.163 0.581 Lu
0.837 0.837 0.419 Lu
0.467 0.467 0.290 Cu
0.533 0.533 0.710 Cu
0.000 0.000 0.500 S
0.324 0.324 0.641 S
0.327 0.327 0.186 S
0.500 0.500 0.000 S
0.673 0.673 0.814 S
0.676 0.676 0.359 S
```

Crystal system: monoclinic
Polymorph energy (0 for the lowest one): 85 meV/atom

Record 6
The following is a PBE calculation of crystalline SrLuCuS3 at its relaxed geometry, from OQMD via LeMat-Bulk.

POSCAR file:
```
SrLuCuS3
1.0
10.054 0.000 0.000
0.000 3.887 0.000
0.000 0.000 13.003
Sr Lu Cu S
4 4 4 12
Direct
0.230 0.250 0.001 Sr
0.270 0.750 0.501 Sr
0.730 0.250 0.499 Sr
0.770 0.750 0.999 Sr
0.016 0.750 0.256 Lu
0.484 0.250 0.756 Lu
0.516 0.750 0.244 Lu
0.984 0.250 0.744 Lu
0.236 0.750 0.777 Cu
0.264 0.250 0.277 Cu
0.736 0.750 0.723 Cu
0.764 0.250 0.223 Cu
0.048 0.750 0.881 S
0.083 0.250 0.387 S
0.237 0.250 0.674 S
0.263 0.750 0.174 S
0.417 0.750 0.887 S
0.452 0.250 0.381 S
0.548 0.750 0.619 S
0.583 0.250 0.113 S
0.737 0.250 0.826 S
0.763 0.750 0.326 S
0.917 0.750 0.613 S
0.952 0.250 0.119 S
```

Crystal system: orthorhombic
Polymorph energy (0 for the lowest one): 0 meV/atom

Record 7
The following is a PBE calculation of crystalline SrLuCuS3 at its relaxed geometry, from OQMD via LeMat-Bulk.

POSCAR file:
```
SrLuCuS3
1.0
8.088 0.000 0.000
0.000 3.894 0.000
-2.234 0.000 8.385
Sr Lu Cu S
2 2 2 6
Direct
0.200 0.250 0.247 Sr
0.800 0.750 0.753 Sr
0.322 0.750 0.837 Lu
0.678 0.250 0.163 Lu
0.084 0.250 0.589 Cu
0.916 0.750 0.411 Cu
0.101 0.250 0.863 S
0.223 0.750 0.522 S
0.445 0.750 0.160 S
0.555 0.250 0.840 S
0.777 0.250 0.478 S
0.899 0.750 0.137 S
```

Crystal system: monoclinic
Polymorph energy (0 for the lowest one): 15 meV/atom

Record 8
The following is a PBE calculation of crystalline SrLuCuTe2S at its relaxed geometry, from OQMD via LeMat-Bulk.

POSCAR file:
```
SrLuCuTe2S
1.0
2.077 -7.205 0.000
2.077 7.205 0.000
0.000 0.000 10.381
Sr Lu Cu Te S
2 2 2 4 2
Direct
0.222 0.778 0.750 Sr
0.778 0.222 0.250 Sr
0.500 0.500 0.000 Lu
0.500 0.500 0.500 Lu
0.020 0.980 0.250 Cu
0.980 0.020 0.750 Cu
0.144 0.856 0.062 Te
0.144 0.856 0.438 Te
0.856 0.144 0.562 Te
0.856 0.144 0.938 Te
0.436 0.564 0.250 S
0.564 0.436 0.750 S
```

Calculated total energy: -4.712 eV per atom
Crystal system: orthorhombic

Record 9
The following is a PBE calculation of crystalline SrLuCuTeS2 at its relaxed geometry, from OQMD via LeMat-Bulk.

POSCAR file:
```
SrLuCuTeS2
1.0
1.985 -7.069 0.000
1.985 7.069 0.000
0.000 0.000 10.752
Sr Lu Cu Te S
2 2 2 2 4
Direct
0.212 0.788 0.750 Sr
0.788 0.212 0.250 Sr
0.000 0.000 0.000 Lu
0.000 0.000 0.500 Lu
0.480 0.520 0.250 Cu
0.520 0.480 0.750 Cu
0.100 0.900 0.250 Te
0.900 0.100 0.750 Te
0.382 0.618 0.076 S
0.382 0.618 0.424 S
0.618 0.382 0.576 S
0.618 0.382 0.924 S
```

Calculated total energy: -5.028 eV per atom
Crystal system: orthorhombic

Record 10
The following is a PBE calculation of crystalline LuZnCuS3 at its relaxed geometry, from OQMD via LeMat-Bulk.

POSCAR file:
```
LuZnCuS3
1.0
1.812 -5.967 0.000
1.812 5.967 0.000
0.000 0.000 10.167
Lu Zn Cu S
2 2 2 6
Direct
0.000 0.000 0.000 Lu
0.000 0.000 0.500 Lu
0.237 0.763 0.750 Zn
0.763 0.237 0.250 Zn
0.479 0.521 0.250 Cu
0.521 0.479 0.750 Cu
0.107 0.893 0.250 S
0.354 0.646 0.081 S
0.354 0.646 0.419 S
0.646 0.354 0.581 S
0.646 0.354 0.919 S
0.893 0.107 0.750 S
```

Calculated total energy: -4.578 eV per atom
Crystal system: orthorhombic

Record 11
The following is a PBE calculation of crystalline Lu2CuSb at its relaxed geometry, from OQMD via LeMat-Bulk.

POSCAR file:
```
Lu2CuSb
1.0
7.179 0.000 0.000
0.000 7.179 0.000
0.000 0.000 7.179
Lu Cu Sb
8 4 4
Direct
0.000 0.000 0.000 Lu
0.000 0.500 0.500 Lu
0.250 0.250 0.250 Lu
0.250 0.750 0.750 Lu
0.500 0.000 0.500 Lu
0.500 0.500 0.000 Lu
0.750 0.250 0.750 Lu
0.750 0.750 0.250 Lu
0.250 0.250 0.750 Cu
0.250 0.750 0.250 Cu
0.750 0.250 0.250 Cu
0.750 0.750 0.750 Cu
0.000 0.000 0.500 Sb
0.000 0.500 0.000 Sb
0.500 0.000 0.000 Sb
0.500 0.500 0.500 Sb
```

Calculated total energy: -4.165 eV per atom
Crystal system: cubic

Record 12
The following is a PBE calculation of crystalline LuCuSb2 at its relaxed geometry, from OQMD via LeMat-Bulk.

POSCAR file:
```
LuCuSb2
1.0
7.227 0.000 0.000
0.000 7.227 0.000
0.000 0.000 7.227
Lu Cu Sb
4 4 8
Direct
0.000 0.000 0.000 Lu
0.000 0.500 0.500 Lu
0.500 0.000 0.500 Lu
0.500 0.500 0.000 Lu
0.250 0.250 0.250 Cu
0.250 0.750 0.750 Cu
0.750 0.250 0.750 Cu
0.750 0.750 0.250 Cu
0.000 0.000 0.500 Sb
0.000 0.500 0.000 Sb
0.250 0.250 0.750 Sb
0.250 0.750 0.250 Sb
0.500 0.000 0.000 Sb
0.500 0.500 0.500 Sb
0.750 0.250 0.250 Sb
0.750 0.750 0.750 Sb
```

Calculated total energy: -4.155 eV per atom
Crystal system: cubic

Record 13
The following is a PBE calculation of crystalline LuCuSb2 at its relaxed geometry, from OQMD via LeMat-Bulk.

POSCAR file:
```
LuCuSb2
1.0
7.208 0.000 0.000
0.000 7.208 0.000
0.000 0.000 7.208
Lu Cu Sb
4 4 8
Direct
0.000 0.000 0.000 Lu
0.000 0.500 0.500 Lu
0.500 0.000 0.500 Lu
0.500 0.500 0.000 Lu
0.250 0.250 0.750 Cu
0.250 0.750 0.250 Cu
0.750 0.250 0.250 Cu
0.750 0.750 0.750 Cu
0.000 0.000 0.500 Sb
0.000 0.500 0.000 Sb
0.250 0.250 0.250 Sb
0.250 0.750 0.750 Sb
0.500 0.000 0.000 Sb
0.500 0.500 0.500 Sb
0.750 0.250 0.750 Sb
0.750 0.750 0.250 Sb
```

Calculated total energy: -4.155 eV per atom
Crystal system: cubic

Record 14
The following is a PBE calculation of crystalline LuScCuSb at its relaxed geometry, from OQMD via LeMat-Bulk.

POSCAR file:
```
LuScCuSb
1.0
7.015 0.000 0.000
0.000 7.015 0.000
0.000 0.000 7.015
Lu Sc Cu Sb
4 4 4 4
Direct
0.000 0.000 0.000 Lu
0.000 0.500 0.500 Lu
0.500 0.000 0.500 Lu
0.500 0.500 0.000 Lu
0.250 0.250 0.250 Sc
0.250 0.750 0.750 Sc
0.750 0.250 0.750 Sc
0.750 0.750 0.250 Sc
0.250 0.250 0.750 Cu
0.250 0.750 0.250 Cu
0.750 0.250 0.250 Cu
0.750 0.750 0.750 Cu
0.000 0.000 0.500 Sb
0.000 0.500 0.000 Sb
0.500 0.000 0.000 Sb
0.500 0.500 0.500 Sb
```

Crystal system: cubic
Polymorph energy (0 for the lowest one): 0 meV/atom

Record 15
The following is a PBE calculation of crystalline LuTaCuSb at its relaxed geometry, from OQMD via LeMat-Bulk.

POSCAR file:
```
LuTaCuSb
1.0
6.788 0.000 0.000
0.000 6.788 0.000
0.000 0.000 6.788
Lu Ta Cu Sb
4 4 4 4
Direct
0.000 0.000 0.000 Lu
0.000 0.500 0.500 Lu
0.500 0.000 0.500 Lu
0.500 0.500 0.000 Lu
0.250 0.250 0.250 Ta
0.250 0.750 0.750 Ta
0.750 0.250 0.750 Ta
0.750 0.750 0.250 Ta
0.250 0.250 0.750 Cu
0.250 0.750 0.250 Cu
0.750 0.250 0.250 Cu
0.750 0.750 0.750 Cu
0.000 0.000 0.500 Sb
0.000 0.500 0.000 Sb
0.500 0.000 0.000 Sb
0.500 0.500 0.500 Sb
```

Crystal system: cubic
Polymorph energy (0 for the lowest one): 0 meV/atom

Record 16
The following is a PBE calculation of crystalline LuScCu at its relaxed geometry, from OQMD via LeMat-Bulk.

POSCAR file:
```
LuScCu
1.0
6.523 0.000 0.000
0.000 6.523 0.000
0.000 0.000 6.523
Lu Sc Cu
4 4 4
Direct
0.000 0.000 0.000 Lu
0.000 0.500 0.500 Lu
0.500 0.000 0.500 Lu
0.500 0.500 0.000 Lu
0.000 0.000 0.500 Sc
0.000 0.500 0.000 Sc
0.500 0.000 0.000 Sc
0.500 0.500 0.500 Sc
0.250 0.250 0.250 Cu
0.250 0.750 0.750 Cu
0.750 0.250 0.750 Cu
0.750 0.750 0.250 Cu
```

Energy of formation from the pure elements: 45 meV per atom
Crystal system: cubic
Polymorph energy (0 for the lowest one): 0 meV/atom

Record 17
The following is a PBE calculation of crystalline LuSc2Cu4Si4 at its relaxed geometry, from OQMD via LeMat-Bulk.

POSCAR file:
```
LuSc2Cu4Si4
1.0
-1.983 3.241 6.584
1.983 -3.241 6.584
1.983 3.241 -6.584
Lu Sc Cu Si
1 2 4 4
Direct
0.000 0.000 0.000 Lu
0.374 0.874 0.500 Sc
0.626 0.126 0.500 Sc
0.023 0.329 0.694 Cu
0.365 0.671 0.694 Cu
0.635 0.329 0.306 Cu
0.977 0.671 0.306 Cu
0.220 0.220 0.000 Si
0.317 0.500 0.817 Si
0.683 0.500 0.183 Si
0.780 0.780 0.000 Si
```

Calculated total energy: -5.513 eV per atom
Crystal system: orthorhombic

Record 18
The following is a PBE calculation of crystalline LuScZnCu at its relaxed geometry, from OQMD via LeMat-Bulk.

POSCAR file:
```
LuScZnCu
1.0
6.657 0.000 0.000
0.000 6.657 0.000
0.000 0.000 6.657
Lu Sc Zn Cu
4 4 4 4
Direct
0.000 0.000 0.000 Lu
0.000 0.500 0.500 Lu
0.500 0.000 0.500 Lu
0.500 0.500 0.000 Lu
0.250 0.250 0.250 Sc
0.250 0.750 0.750 Sc
0.750 0.250 0.750 Sc
0.750 0.750 0.250 Sc
0.000 0.000 0.500 Zn
0.000 0.500 0.000 Zn
0.500 0.000 0.000 Zn
0.500 0.500 0.500 Zn
0.250 0.250 0.750 Cu
0.250 0.750 0.250 Cu
0.750 0.250 0.250 Cu
0.750 0.750 0.750 Cu
```

Energy of formation from the pure elements: 22 meV per atom
Crystal system: cubic
Polymorph energy (0 for the lowest one): 0 meV/atom

Record 19
The following is a PBE calculation of crystalline LuCuSe2 at its relaxed geometry, from OQMD via LeMat-Bulk.

POSCAR file:
```
LuCuSe2
1.0
6.512 0.000 0.000
0.000 7.197 0.000
-0.671 0.000 6.993
Lu Cu Se
4 4 8
Direct
0.197 0.040 0.297 Lu
0.197 0.460 0.797 Lu
0.803 0.540 0.203 Lu
0.803 0.960 0.703 Lu
0.425 0.661 0.459 Cu
0.425 0.839 0.959 Cu
0.575 0.161 0.041 Cu
0.575 0.339 0.541 Cu
0.064 0.726 0.496 Se
0.064 0.774 0.996 Se
0.397 0.110 0.717 Se
0.397 0.390 0.217 Se
0.603 0.610 0.783 Se
0.603 0.890 0.283 Se
0.936 0.226 0.004 Se
0.936 0.274 0.504 Se
```

Calculated total energy: -4.958 eV per atom
Crystal system: monoclinic

Record 20
The following is a PBE calculation of crystalline Lu2CuSe3 at its relaxed geometry, from OQMD via LeMat-Bulk.

POSCAR file:
```
Lu2CuSe3
1.0
10.210 0.000 0.000
0.000 3.823 0.000
0.000 0.000 13.079
Lu Cu Se
8 4 12
Direct
0.020 0.250 0.244 Lu
0.219 0.750 0.520 Lu
0.281 0.250 0.020 Lu
0.480 0.750 0.744 Lu
0.520 0.250 0.256 Lu
0.719 0.750 0.980 Lu
0.781 0.250 0.480 Lu
0.980 0.750 0.756 Lu
0.232 0.250 0.726 Cu
0.268 0.750 0.226 Cu
0.732 0.250 0.774 Cu
0.768 0.750 0.274 Cu
0.043 0.250 0.606 Se
0.096 0.750 0.098 Se
0.234 0.750 0.851 Se
0.266 0.250 0.351 Se
0.404 0.250 0.598 Se
0.457 0.750 0.106 Se
0.543 0.250 0.894 Se
0.596 0.750 0.402 Se
0.734 0.750 0.649 Se
0.766 0.250 0.149 Se
0.904 0.250 0.902 Se
0.957 0.750 0.394 Se
```

Calculated total energy: -5.153 eV per atom
Crystal system: orthorhombic

no.,theoretical density (Mg/m³)
1,6.01
2,5.87
3,6.29
4,5.54
5,5.43
6,5.52
7,5.31
8,6.56
9,5.70
10,6.05
11,9.61
12,8.48
13,8.55
14,7.80
15,11.49
16,6.78
17,6.20
18,7.86
19,8.03
20,8.46